*P*
First-principles (PBE-GGA) data for an optimized crystal structure of Sm6Tl2O, as listed in Alexandria via LeMat-Bulk.

Cell lengths 7.032, 7.032, 7.032 Å; angles 60.00, 60.00, 60.00 degrees
Positions (direct):
Sm 0.247 0.247 0.753
Sm 0.247 0.753 0.247
Sm 0.247 0.753 0.753
Sm 0.753 0.247 0.247
Sm 0.753 0.247 0.753
Sm 0.753 0.753 0.247
Tl 0.250 0.250 0.250
Tl 0.750 0.750 0.750
O 0.000 0.000 0.000

Magnetic moment   0.000 μB per cell
Mass density   9.0 g/cm3
Symmetry   Fm-3m (225)
V   27.322 Å³ per atom

*Q*
First-principles (PBE-GGA) data for an optimized crystal structure of Sm6Tl2O, as listed in Alexandria via LeMat-Bulk.

Cell lengths 3.637, 8.921, 8.921 Å; angles 117.53, 90.00, 90.00 degrees
Positions (direct):
Sm 0.000 0.000 0.000
Sm 0.000 0.553 0.769
Sm 0.000 0.769 0.553
Sm 0.500 0.194 0.780
Sm 0.500 0.355 0.355
Sm 0.500 0.780 0.194
Tl 0.000 0.105 0.446
Tl 0.000 0.446 0.105
O 0.500 0.596 0.596

Magnetic moment   0.418 μB per cell
Mass density   8.6 g/cm3
Symmetry   Amm2 (38)
V   28.517 Å³ per atom

Short version: *Q* is the least stable of them.

*P*
First-principles (PBE-GGA) data for an optimized crystal structure of SmTmO, as listed in Alexandria via LeMat-Bulk.

Cell lengths 3.512, 3.512, 5.891 Å; angles 90.00, 90.00, 120.00 degrees
Positions (direct):
Sm 0.000 0.000 0.000
Tm 0.333 0.667 0.469
O 0.667 0.333 0.272

Magnetic moment   0.012 μB per cell
Mass density   8.8 g/cm3
Symmetry   P3m1 (156)
V   20.977 Å³ per atom

*Q*
First-principles (PBE-GGA) data for an optimized crystal structure of SmTmO, as listed in Alexandria via LeMat-Bulk.

Cell lengths 7.696, 6.922, 5.242 Å; angles 90.00, 90.00, 90.00 degrees
Positions (direct):
Sm 0.124 0.089 0.250
Sm 0.124 0.411 0.750
Sm 0.876 0.589 0.250
Sm 0.876 0.911 0.750
Tm 0.373 0.587 0.250
Tm 0.373 0.913 0.750
Tm 0.627 0.087 0.250
Tm 0.627 0.413 0.750
O 0.137 0.080 0.750
O 0.137 0.420 0.250
O 0.863 0.580 0.750
O 0.863 0.920 0.250

Magnetic moment   0.000 μB per cell
Mass density   8.0 g/cm3
Symmetry   Pbcm (57)
V   23.270 Å³ per atom

Short version: *P* is the least stable of them.

*P*
First-principles (PBE-GGA) data for an optimized crystal structure of Sm2UO6, as listed in Alexandria via LeMat-Bulk.

Cell lengths 5.183, 5.183, 10.687 Å; angles 90.00, 90.00, 90.00 degrees
Positions (direct):
Sm 0.000 0.000 0.166
Sm 0.000 0.000 0.834
Sm 0.500 0.500 0.334
Sm 0.500 0.500 0.666
U 0.000 0.000 0.500
U 0.500 0.500 0.000
O 0.183 0.183 0.348
O 0.183 0.183 0.652
O 0.213 0.213 0.000
O 0.287 0.713 0.500
O 0.317 0.683 0.152
O 0.317 0.683 0.848
O 0.683 0.317 0.152
O 0.683 0.317 0.848
O 0.713 0.287 0.500
O 0.787 0.787 0.000
O 0.817 0.817 0.348
O 0.817 0.817 0.652

Magnetic moment   0.000 μB per cell
Mass density   7.3 g/cm3
Symmetry   P4_2/mnm (136)
V   15.951 Å³ per atom

*Q*
First-principles (PBE-GGA) data for an optimized crystal structure of Sm2UO6, as listed in Alexandria via LeMat-Bulk.

Cell lengths 6.573, 6.573, 6.573 Å; angles 145.50, 130.89, 61.40 degrees
Positions (direct):
Sm 0.165 0.165 0.000
Sm 0.835 0.835 0.000
U 0.500 0.500 0.000
O 0.109 0.347 0.762
O 0.273 0.000 0.273
O 0.416 0.653 0.762
O 0.584 0.347 0.238
O 0.727 0.000 0.727
O 0.891 0.653 0.238

Magnetic moment   0.000 μB per cell
Mass density   8.8 g/cm3
Symmetry   Immm (71)
V   13.377 Å³ per atom

Short version: *P* is the least stable of them.